# 1
Material: CsPAuO2
Method: DFT, PBE
State: optimized geometry

D(E_F) in states/eV/atom: 0.74
Space-group type: P4/mmm (123)
Formation energy (no corrections) in meV/atom: 1026.9

Lattice parameters (Å, degrees): 4.1619 4.1619 7.8938 90.00 90.00 90.00
With the nearest neighbours (Å) after each atom.
Element x y z (fractional)
Cs 0.0000 0.0000 0.0000  4 O 2.08
P 0.0000 0.0000 0.5000  4 Au 2.94
Au 0.5000 0.5000 0.5000  4 P 2.94
O 0.0000 0.5000 0.0000  2 Cs 2.08
O 0.5000 0.0000 0.0000  2 Cs 2.08


# 2
Material: CsP2AuO
Method: DFT, PBE
State: optimized geometry

D(E_F) in states/eV/atom: 0.70
Space-group type: P4/mmm (123)
Polymorph energy (0 for the lowest one) in meV per atom: 0
Formation energy (no corrections) in meV/atom: 577.3

Lattice parameters (Å, degrees): 4.8712 4.8712 4.9430 90.00 90.00 90.00
With the nearest neighbours (Å) after each atom.
Element x y z (fractional)
Cs 0.0000 0.0000 0.0000  4 O 3.44, 8 P 3.47
P 0.0000 0.5000 0.5000  2 Au 2.44
P 0.5000 0.0000 0.5000  2 Au 2.44
Au 0.5000 0.5000 0.5000  4 P 2.44, 2 O 2.47
O 0.5000 0.5000 0.0000  2 Au 2.47


# 3
Material: CsP2AuO
Method: DFT, PBE
State: optimized geometry

D(E_F) in states/eV/atom: 0.77
Space-group type: P4/mmm (123)
Polymorph energy (0 for the lowest one) in meV per atom: 1137
Formation energy (no corrections) in meV/atom: 1714.4

Lattice parameters (Å, degrees): 5.5119 5.5119 4.1752 90.00 90.00 90.00
With the nearest neighbours (Å) after each atom.
Element x y z (fractional)
Cs 0.0000 0.0000 0.0000  2 O 2.09
P 0.0000 0.5000 0.0000  2 Cs 2.76
P 0.5000 0.0000 0.0000  2 Cs 2.76
Au 0.5000 0.5000 0.5000  8 P 3.46
O 0.0000 0.0000 0.5000  2 Cs 2.09